[1]
# Li2FeSi2, optimized geometry, DFT GGA-PBE
data_Li2FeSi2
_chemical_formula_sum 'Li4 Fe2 Si4'
_cell_length_a 6.045
_cell_length_b 6.045
_cell_length_c 3.993
_cell_angle_alpha 90.00
_cell_angle_beta 90.00
_cell_angle_gamma 90.00
_space_group_name_H-M_alt 'P 4/m b m'
_space_group_IT_number 127
_space_group_name_Hall '-P 4 2ab'
loop_
_atom_site_label
_atom_site_type_symbol
_atom_site_fract_x
_atom_site_fract_y
_atom_site_fract_z
Li1 Li 0.169 0.331 0.000
Fe1 Fe 0.000 0.000 0.500
Si1 Si 0.141 0.641 0.500
# Formation energy without anion corrections = -4.3 kJ per mole of atoms
# Spin magnetization = 0.36 μB/atom

---

[2]
# LiFeSi, optimized geometry, DFT GGA-PBE
data_LiFeSi
_chemical_formula_sum 'Li2 Fe2 Si2'
_cell_length_a 2.941
_cell_length_b 2.941
_cell_length_c 7.771
_cell_angle_alpha 90.00
_cell_angle_beta 90.00
_cell_angle_gamma 90.00
_space_group_name_H-M_alt 'I 4 m m'
_space_group_IT_number 107
_space_group_name_Hall 'I 4 -2'
loop_
_atom_site_label
_atom_site_type_symbol
_atom_site_fract_x
_atom_site_fract_y
_atom_site_fract_z
Li1 Li 0.000 0.000 0.000
Fe1 Fe 0.000 0.000 0.326
Si1 Si 0.000 0.000 0.685
# Formation energy without anion corrections = -7.3 kJ per mole of atoms
# Spin magnetization = 0.08 μB/atom

---

[3]
# LiFeSi3, optimized geometry, DFT GGA-PBE
data_LiFeSi3
_chemical_formula_sum 'Li1 Fe1 Si3'
_cell_length_a 4.417
_cell_length_b 4.417
_cell_length_c 4.417
_cell_angle_alpha 90.00
_cell_angle_beta 90.00
_cell_angle_gamma 90.00
_space_group_name_H-M_alt 'P m -3 m'
_space_group_IT_number 221
_space_group_name_Hall '-P 4 2 3'
loop_
_atom_site_label
_atom_site_type_symbol
_atom_site_fract_x
_atom_site_fract_y
_atom_site_fract_z
Li1 Li 0.000 0.000 0.000
Fe1 Fe 0.500 0.500 0.500
Si1 Si 0.000 0.500 0.500
# Formation energy without anion corrections = 24.3 kJ per mole of atoms
# Spin magnetization = 0.48 μB/atom